1.
{"formula": "Tb2Pr3Y6Th", "functional": "PBE", "state": "relaxed", "space_group": "C2/m, No. 12", "rho_g_cm3": 6.30, "n_ef_per_ev_atom": 1.3454, "cell": [[-4.662, -1.174, -4.004], [5.662, -2.474, -0.982], [-3.356, -8.192, 7.942]], "species": ["Tb", "Tb", "Pr", "Pr", "Pr", "Y", "Y", "Y", "Y", "Y", "Y", "Th"], "frac_coords": [[0.333, 0.667, 0.000], [0.667, 0.333, 0.000], [0.167, 0.833, 0.500], [0.833, 0.167, 0.500], [0.500, 0.500, 0.500], [0.918, 0.588, 0.754], [0.753, 0.753, 0.246], [0.082, 0.412, 0.246], [0.588, 0.918, 0.754], [0.247, 0.247, 0.754], [0.412, 0.082, 0.246], [0.000, 0.000, 0.000]]}

2.
{"formula": "Tb2Pr6Y3Th", "functional": "PBE", "state": "relaxed", "space_group": "C2/m, No. 12", "rho_g_cm3": 6.74, "n_ef_per_ev_atom": 1.3646, "cell": [[6.320, 0.001, 0.020], [-3.158, 5.475, 0.020], [-1.091, -1.890, 11.821]], "species": ["Tb", "Tb", "Pr", "Pr", "Pr", "Pr", "Pr", "Pr", "Y", "Y", "Y", "Th"], "frac_coords": [[0.333, 0.667, 0.000], [0.667, 0.333, 0.000], [0.917, 0.587, 0.751], [0.754, 0.754, 0.248], [0.083, 0.413, 0.249], [0.587, 0.917, 0.751], [0.246, 0.246, 0.752], [0.413, 0.083, 0.249], [0.167, 0.833, 0.500], [0.833, 0.167, 0.500], [0.500, 0.500, 0.500], [0.000, 0.000, 0.000]]}

Let's list magnetization in order: 0.00; 0.00 μB per formula unit.
Let's list calculated formation energy in order: 0.02; 0.03 eV per atom.